# 1
Entry from Alexandria via LeMat-Bulk: crystalline Pm2SmYTm at its relaxed geometry (PBE).

Properties
Formation enthalpy at 0 K: 421 meV/atom
Symmetry: Cmcm (63)
DOS(E_F): 7.239 states/eV/f.u.
Spin magnetization: 0.00 μB/f.u.

The structure in POSCAR format:
```
Pm2SmYTm
1.0
-4.8732 0.4535 5.3811
-2.8059 -7.5922 -1.9012
5.2403 1.4583 4.6228
Tm Sm Pm Y
2 2 4 2
direct
0.7500 0.2932 0.5864
0.2500 0.7068 0.4136
0.2500 0.9674 0.9348
0.7500 0.0326 0.0652
0.5000 0.6929 0.0000
0.5000 0.3071 0.0000
0.0000 0.3071 0.0000
0.0000 0.6929 0.0000
0.7500 0.7426 0.4851
0.2500 0.2574 0.5149
```

# 2
Entry from Alexandria via LeMat-Bulk: crystalline Cd2P at its relaxed geometry (PBE).

Properties
Formation enthalpy at 0 K: 321 meV/atom
Symmetry: P-3m1 (164)
DOS(E_F): 1.808 states/eV/f.u.
Spin magnetization: 0.00 μB/f.u.
Distance to the lowest polymorph of the same formula: 232.1 meV per atom

The structure in POSCAR format:
```
Cd2P
1.0
-4.0222 2.3079 -1.4268
0.3553 -4.8095 -0.5319
-1.2180 -0.3984 2.7890
Cd P
2 1
direct
0.3333 0.6667 0.5644
0.0000 0.0000 0.1023
0.6667 0.3333 0.3333
```

# 3
Entry from Alexandria via LeMat-Bulk: crystalline Cs2RbSe2 at its relaxed geometry (PBE).

Properties
Energy relative to the elements, uncorrected: -0.680 eV/atom
Symmetry: I4/mmm (139)
DOS(E_F): 3.295 states/eV/f.u.
Spin magnetization: 1.00 μB/f.u.
Distance to the lowest polymorph of the same formula: 179.8 meV per atom

The structure in POSCAR format:
```
Cs2RbSe2
1.0
6.5385 0.0000 0.0000
0.0000 6.5385 0.0000
3.2693 3.2693 5.9537
Cs Rb Se
2 1 2
direct
0.6559 0.6559 0.6882
0.3441 0.3441 0.3118
0.0000 0.0000 0.0000
0.2500 0.7500 0.5000
0.7500 0.2500 0.5000
```

# 4
Entry from Alexandria via LeMat-Bulk: crystalline Re2RuC at its relaxed geometry (PBE).

Properties
Formation enthalpy at 0 K: 919 meV/atom
Symmetry: I-42d (122)
DOS(E_F): 3.646 states/eV/f.u.
Spin magnetization: 0.00 μB/f.u.

The structure in POSCAR format:
```
Re2RuC
1.0
-3.6941 -0.6355 3.2565
-0.8987 -4.4996 -1.8976
1.0742 -4.6795 4.0908
C Ru Re
2 2 4
direct
0.2500 0.7500 0.5000
0.5000 0.5000 0.0000
0.0000 0.0000 0.0000
0.7500 0.2500 0.5000
0.5483 0.1250 0.2500
0.3750 0.4517 0.7500
0.8750 0.7983 0.7500
0.2017 0.6250 0.2500
```

# 5
Entry from Alexandria via LeMat-Bulk: crystalline AcHoNiAu at its relaxed geometry (PBE).

Properties
Formation enthalpy at 0 K: -438 meV/atom
Symmetry: F-43m (216)
DOS(E_F): 3.469 states/eV/f.u.
Spin magnetization: 0.00 μB/f.u.

The structure in POSCAR format:
```
AcHoNiAu
1.0
-2.0829 -3.9717 2.6108
2.3566 -4.6233 0.0042
2.2812 -1.7456 4.3218
Au Ac Ho Ni
1 1 1 1
direct
0.2500 0.2500 0.2500
0.0000 0.0000 0.0000
0.5000 0.5000 0.5000
0.7500 0.7500 0.7500
```

# 6
Entry from Alexandria via LeMat-Bulk: crystalline Sr3Sm3ScS8 at its relaxed geometry (PBE).

Properties
Energy relative to the elements, uncorrected: -2.054 eV/atom
Symmetry: R-3m (166)
DOS(E_F): 4.927 states/eV/f.u.
Spin magnetization: 0.00 μB/f.u.

The structure in POSCAR format:
```
Sr3Sm3ScS8
1.0
8.0633 0.0000 0.0000
-4.0316 6.9830 -0.0247
0.0000 -4.6309 6.9054
Sm S Sr Sc
3 8 3 1
direct
0.5000 0.0000 0.5000
0.0000 0.5000 0.5000
0.5000 0.5000 0.5000
0.2306 0.9887 0.7194
0.2306 0.4613 0.7194
0.2419 0.0113 0.2806
0.2544 0.5088 0.2632
0.7694 0.5387 0.2806
0.7694 0.0113 0.2806
0.7456 0.4912 0.7368
0.7581 0.9887 0.7194
0.5000 0.5000 0.0000
0.0000 0.0000 0.0000
0.0000 0.5000 0.0000
0.0000 0.0000 0.5000
```

# 7
Entry from Alexandria via LeMat-Bulk: crystalline Mg2TlPd9 at its relaxed geometry (PBE).

Properties
Formation enthalpy at 0 K: -369 meV/atom
Symmetry: P4/mmm (123)
DOS(E_F): 16.919 states/eV/f.u.
Spin magnetization: 0.00 μB/f.u.

The structure in POSCAR format:
```
Mg2TlPd9
1.0
4.0039 0.0000 0.0000
0.0000 4.0039 0.0000
0.0000 0.0000 12.0396
Pd Tl Mg
9 1 2
direct
0.5000 0.5000 0.6615
0.5000 0.5000 0.0000
0.5000 0.0000 0.5000
0.0000 0.5000 0.8250
0.0000 0.5000 0.1750
0.5000 0.0000 0.1750
0.5000 0.0000 0.8250
0.0000 0.5000 0.5000
0.5000 0.5000 0.3385
0.0000 0.0000 0.0000
0.0000 0.0000 0.3362
0.0000 0.0000 0.6638
```